A relaxed RePd4Pt2 crystal, computed with PBE.

**ΔE_f**: 0.112 eV per atom
**Symmetry**: Cmmm (65)

Structure (POSCAR):
```
RePd4Pt2
1.0
4.6605 0.0000 0.0000
0.0000 17.7503 0.0000
0.0000 0.0000 2.7037
Re Pd Pt
2 8 4
Direct
0.0000 0.0000 0.0000
0.5000 0.5000 0.0000
0.0000 0.2847 0.5000
0.0000 0.4242 0.0000
0.0000 0.5758 0.0000
0.0000 0.7153 0.5000
0.5000 0.0758 0.0000
0.5000 0.2153 0.5000
0.5000 0.7847 0.5000
0.5000 0.9242 0.0000
0.0000 0.1306 0.5000
0.0000 0.8694 0.5000
0.5000 0.3694 0.5000
0.5000 0.6306 0.5000
```

***

A relaxed Na2Sn2Sb crystal, computed with PBE.

**Distance to the lowest polymorph of the same formula**: 248 meV per atom
**Symmetry**: P4/mbm (127)

Structure (POSCAR):
```
Na2Sn2Sb
1.0
9.0936 0.0000 0.0000
0.0000 9.0936 0.0000
0.0000 0.0000 3.3458
Na Sn Sb
4 4 2
Direct
0.1180 0.3820 0.0000
0.3820 0.8820 0.0000
0.6180 0.1180 0.0000
0.8820 0.6180 0.0000
0.1829 0.6829 0.5000
0.3171 0.1829 0.5000
0.6829 0.8171 0.5000
0.8171 0.3171 0.5000
0.0000 0.0000 0.0000
0.5000 0.5000 0.0000
```

***

A relaxed AcIn2Pt3 crystal, computed with PBE.

**ΔE_f**: -0.731 eV per atom
**Symmetry**: Cmcm (63)

Structure (POSCAR):
```
AcIn2Pt3
1.0
5.5009 -4.1124 0.0000
5.5009 4.1124 0.0000
0.0000 0.0000 6.0023
Ac In Pt
2 4 6
Direct
0.1746 0.8254 0.7500
0.8254 0.1746 0.2500
0.2905 0.2905 0.0000
0.2905 0.2905 0.5000
0.7095 0.7095 0.0000
0.7095 0.7095 0.5000
0.0435 0.6878 0.2500
0.3122 0.9565 0.2500
0.4530 0.5470 0.2500
0.5470 0.4530 0.7500
0.6878 0.0435 0.7500
0.9565 0.3122 0.7500
```